[1]
# RuRhCl (PBE, relaxed)
# DOS(E_F), states/eV/f.u.: 4.6
# M_tot, μB/atom: 0.000
# Symmetry: Fmm2, No. 42
# E_form (uncorrected), eV per formula unit: 1.582
# Electronic total energy, eV per cell: -16.89
data_RuRhCl
_cell_length_a 7.009
_cell_length_b 6.679
_cell_length_c 2.900
_cell_angle_alpha 84.22
_cell_angle_beta 71.46
_cell_angle_gamma 24.31
_space_group_name_H-M_alt 'P 1'
_space_group_IT_number 1
_space_group_name_Hall 'P 1'
loop_
_atom_site_label
_atom_site_fract_x
_atom_site_fract_y
_atom_site_fract_z
_atom_site_occupancy
Cl1 0.008 0.008 0.992 1
Rh1 0.329 0.329 0.671 1
Ru1 0.663 0.663 0.337 1

***

[2]
# RuRhCl2 (PBE, relaxed)
# DOS(E_F), states/eV/f.u.: 3.0
# M_tot, μB/atom: 0.000
# Symmetry: P4mm, No. 99
# E_form (uncorrected), eV per formula unit: 0.636
# Electronic total energy, eV per cell: -19.68
data_RuRhCl2
_cell_length_a 2.988
_cell_length_b 2.988
_cell_length_c 8.288
_cell_angle_alpha 90.00
_cell_angle_beta 90.00
_cell_angle_gamma 90.00
_space_group_name_H-M_alt 'P 1'
_space_group_IT_number 1
_space_group_name_Hall 'P 1'
loop_
_atom_site_label
_atom_site_fract_x
_atom_site_fract_y
_atom_site_fract_z
_atom_site_occupancy
Cl1 0.000 0.000 0.917 1
Cl2 0.500 0.500 0.332 1
Rh1 0.000 0.000 0.533 1
Ru1 0.500 0.500 0.718 1

***

[3]
# RuRhCl2 (PBE, relaxed)
# DOS(E_F), states/eV/f.u.: 6.2
# M_tot, μB/atom: 0.000
# Symmetry: R3m, No. 160
# E_form (uncorrected), eV per formula unit: 0.663
# Electronic total energy, eV per cell: -19.66
data_RuRhCl2
_cell_length_a 9.242
_cell_length_b 9.242
_cell_length_c 9.242
_cell_angle_alpha 18.95
_cell_angle_beta 18.95
_cell_angle_gamma 18.95
_space_group_name_H-M_alt 'P 1'
_space_group_IT_number 1
_space_group_name_Hall 'P 1'
loop_
_atom_site_label
_atom_site_fract_x
_atom_site_fract_y
_atom_site_fract_z
_atom_site_occupancy
Cl1 0.228 0.228 0.228 1
Cl2 0.023 0.023 0.023 1
Rh1 0.494 0.494 0.494 1
Ru1 0.755 0.755 0.755 1